[1]
Density functional theory data (GGA-PBE) for a relaxed structure of Ac2Pr2Sm5.

Values from the calculation:
total DFT energy (no corrections) = -4.360 eV per atom

CIF file:
```
data_Ac2Pr2Sm5
_chemical_formula_sum 'Ac8 Pr8 Sm20'
_cell_length_a 15.4056
_cell_length_b 9.8694
_cell_length_c 8.8131
_cell_angle_alpha 90.00
_cell_angle_beta 90.00
_cell_angle_gamma 90.00
_symmetry_space_group_name_H-M 'I m a 2'
_symmetry_Int_Tables_number 46
loop_
_symmetry_equiv_pos_as_xyz
'x,y,z'
'-x,-y,z'
'-x+1/2,y,z'
'x+1/2,-y,z'
'x+1/2,y+1/2,z+1/2'
'-x+1/2,-y+1/2,z+1/2'
'-x,y+1/2,z+1/2'
'x,-y+1/2,z+1/2'
loop_
_atom_site_label
_atom_site_fract_x
_atom_site_fract_y
_atom_site_fract_z
Ac1 0.1257 0.0357 0.0000
Pr1 0.0000 0.0000 0.6622
Pr2 0.2500 0.5113 0.8501
Sm1 0.0294 0.1720 0.3390
Sm2 0.1499 0.7081 0.1478
Sm3 0.2500 0.1683 0.6718
```

=====

[2]
Density functional theory data (GGA-PBE) for a relaxed structure of Sm2Dy2Sc.

Values from the calculation:
total DFT energy (no corrections) = -4.803 eV per atom

CIF file:
```
data_Sm2Dy2Sc
_chemical_formula_sum 'Sm8 Dy8 Sc4'
_cell_length_a 3.5223
_cell_length_b 5.6308
_cell_length_c 31.6129
_cell_angle_alpha 90.00
_cell_angle_beta 90.00
_cell_angle_gamma 90.00
_symmetry_space_group_name_H-M 'I m m a'
_symmetry_Int_Tables_number 74
_symmetry_space_group_name_Hall '-I 2b 2'
loop_
_atom_site_label
_atom_site_fract_x
_atom_site_fract_y
_atom_site_fract_z
Sm1 0.0000 0.2500 0.1876
Sm2 0.0000 0.2500 0.7062
Dy1 0.0000 0.2500 0.8837
Dy2 0.0000 0.2500 0.9802
Sc1 0.0000 0.2500 0.4253
```

=====

[3]
Density functional theory data (GGA-PBE) for a relaxed structure of Li12CdHg6.

Values from the calculation:
total DFT energy (no corrections) = -1.592 eV per atom

CIF file:
```
data_Li12CdHg6
_chemical_formula_sum 'Li36 Cd3 Hg18'
_cell_length_a 12.2460
_cell_length_b 12.2460
_cell_length_c 8.3511
_cell_angle_alpha 90.00
_cell_angle_beta 90.00
_cell_angle_gamma 120.00
_symmetry_space_group_name_H-M 'R -3'
_symmetry_Int_Tables_number 148
_symmetry_space_group_name_Hall '-R 3'
loop_
_atom_site_label
_atom_site_fract_x
_atom_site_fract_y
_atom_site_fract_z
Li1 0.0444 0.7980 0.0776
Li2 0.0568 0.8283 0.4147
Cd1 0.0000 0.0000 0.0000
Hg1 0.0444 0.8271 0.7466
```

=====

[4]
Density functional theory data (GGA-PBE) for a relaxed structure of Hf2AuI2.

Values from the calculation:
E_form (uncorrected) = 0.247 eV/atom

CIF file:
```
data_Hf2AuI2
_chemical_formula_sum 'Hf4 Au2 I4'
_cell_length_a 4.0829
_cell_length_b 4.0829
_cell_length_c 17.0943
_cell_angle_alpha 90.00
_cell_angle_beta 90.00
_cell_angle_gamma 90.00
_symmetry_space_group_name_H-M 'I 4/m m m'
_symmetry_Int_Tables_number 139
_symmetry_space_group_name_Hall '-I 4 2'
loop_
_atom_site_label
_atom_site_fract_x
_atom_site_fract_y
_atom_site_fract_z
Hf1 0.0000 0.5000 0.2500
Au1 0.0000 0.0000 0.0000
I1 0.0000 0.0000 0.3796
```

=====

[5]
Density functional theory data (GGA-PBE) for a relaxed structure of CsZr2BeGa.

Values from the calculation:
total DFT energy (no corrections) = -2.826 eV per atom

CIF file:
```
data_CsZr2BeGa
_chemical_formula_sum 'Cs1 Zr2 Be1 Ga1'
_cell_length_a 5.2993
_cell_length_b 5.2993
_cell_length_c 4.6555
_cell_angle_alpha 90.00
_cell_angle_beta 90.00
_cell_angle_gamma 90.00
_symmetry_space_group_name_H-M 'P 4/m m m'
_symmetry_Int_Tables_number 123
_symmetry_space_group_name_Hall '-P 4 2'
loop_
_atom_site_label
_atom_site_fract_x
_atom_site_fract_y
_atom_site_fract_z
Cs1 0.0000 0.0000 0.0000
Zr1 0.0000 0.5000 0.0000
Be1 0.0000 0.0000 0.5000
Ga1 0.5000 0.5000 0.5000
```

=====

[6]
Density functional theory data (GGA-PBE) for a relaxed structure of TlIn2Re.

Values from the calculation:
total DFT energy (no corrections) = -4.144 eV per atom

CIF file:
```
data_TlIn2Re
_chemical_formula_sum 'Tl4 In8 Re4'
_cell_length_a 4.2957
_cell_length_b 4.2957
_cell_length_c 20.1564
_cell_angle_alpha 90.00
_cell_angle_beta 90.00
_cell_angle_gamma 90.00
_symmetry_space_group_name_H-M 'I -4 2 d'
_symmetry_Int_Tables_number 122
_symmetry_space_group_name_Hall 'I -4 2bw'
loop_
_atom_site_label
_atom_site_fract_x
_atom_site_fract_y
_atom_site_fract_z
Tl1 0.0000 0.0000 0.0000
In1 0.2229 0.2500 0.6250
Re1 0.0000 0.0000 0.5000
```